# Tb2ZnFe2Co5 | Alexandria via LeMat-Bulk | PBE | relaxed
data_Tb2ZnFe2Co5
_chemical_formula_sum 'Tb4 Zn2 Fe4 Co10'
_symmetry_space_group_name_H-M 'P 1'
_symmetry_Int_Tables_number 1
_cell_length_a 8.8724
_cell_length_b 8.8724
_cell_length_c 3.7246
_cell_angle_alpha 90.00
_cell_angle_beta 90.00
_cell_angle_gamma 90.00
loop_
_symmetry_equiv_pos_as_xyz
'x,y,z'
loop_
_atom_site_label
_atom_site_fract_x
_atom_site_fract_y
_atom_site_fract_z
Tb1 0.1852 0.3148 0.0000
Tb2 0.3148 0.8148 0.0000
Tb3 0.6852 0.1852 0.0000
Tb4 0.8148 0.6852 0.0000
Zn1 0.0000 0.0000 0.0000
Zn2 0.5000 0.5000 0.0000
Fe1 0.1118 0.6118 0.0000
Fe2 0.3882 0.1118 0.0000
Fe3 0.6118 0.8882 0.0000
Fe4 0.8882 0.3882 0.0000
Co1 0.0000 0.5000 0.5000
Co2 0.0564 0.7925 0.5000
Co3 0.2075 0.0564 0.5000
Co4 0.2925 0.5564 0.5000
Co5 0.4436 0.2925 0.5000
Co6 0.5000 0.0000 0.5000
Co7 0.5564 0.7075 0.5000
Co8 0.7075 0.4436 0.5000
Co9 0.7925 0.9436 0.5000
Co10 0.9436 0.2075 0.5000
# Electronic total energy in eV for the cell shown: -125.51
# Density of states at the Fermi level in states/eV/f.u.: 8.09


# TbZrFeCo | Alexandria via LeMat-Bulk | PBE | relaxed
data_TbZrFeCo
_chemical_formula_sum 'Tb1 Zr1 Fe1 Co1'
_symmetry_space_group_name_H-M 'P 1'
_symmetry_Int_Tables_number 1
_cell_length_a 4.6074
_cell_length_b 4.6074
_cell_length_c 4.6074
_cell_angle_alpha 60.00
_cell_angle_beta 60.00
_cell_angle_gamma 60.00
loop_
_symmetry_equiv_pos_as_xyz
'x,y,z'
loop_
_atom_site_label
_atom_site_fract_x
_atom_site_fract_y
_atom_site_fract_z
Tb1 0.0000 0.0000 0.0000
Zr1 0.5000 0.5000 0.5000
Fe1 0.2500 0.2500 0.2500
Co1 0.7500 0.7500 0.7500
# Electronic total energy in eV for the cell shown: -28.98
# Density of states at the Fermi level in states/eV/f.u.: 1.72


# FeCoTc2 | Alexandria via LeMat-Bulk | PBE | relaxed
data_FeCoTc2
_chemical_formula_sum 'Fe1 Co1 Tc2'
_symmetry_space_group_name_H-M 'P 1'
_symmetry_Int_Tables_number 1
_cell_length_a 2.6364
_cell_length_b 2.6364
_cell_length_c 7.3648
_cell_angle_alpha 90.00
_cell_angle_beta 90.00
_cell_angle_gamma 90.00
loop_
_symmetry_equiv_pos_as_xyz
'x,y,z'
loop_
_atom_site_label
_atom_site_fract_x
_atom_site_fract_y
_atom_site_fract_z
Fe1 0.0000 0.0000 0.0000
Co1 0.5000 0.5000 0.7750
Tc1 0.0000 0.0000 0.5352
Tc2 0.5000 0.5000 0.2471
# Energy above the most stable polymorph in this dataset in meV/atom: 54
# Electronic total energy in eV for the cell shown: -35.91
# Density of states at the Fermi level in states/eV/f.u.: 4.51


# FeCoTc2 | Alexandria via LeMat-Bulk | PBE | relaxed
data_FeCoTc2
_chemical_formula_sum 'Fe1 Co1 Tc2'
_symmetry_space_group_name_H-M 'P 1'
_symmetry_Int_Tables_number 1
_cell_length_a 8.6190
_cell_length_b 8.6190
_cell_length_c 8.6190
_cell_angle_alpha 17.92
_cell_angle_beta 17.92
_cell_angle_gamma 17.92
loop_
_symmetry_equiv_pos_as_xyz
'x,y,z'
loop_
_atom_site_label
_atom_site_fract_x
_atom_site_fract_y
_atom_site_fract_z
Fe1 0.0000 0.0000 0.0000
Co1 0.7422 0.7422 0.7422
Tc1 0.2467 0.2467 0.2467
Tc2 0.4945 0.4945 0.4945
# Energy above the most stable polymorph in this dataset in meV/atom: 93
# Electronic total energy in eV for the cell shown: -35.75
# Density of states at the Fermi level in states/eV/f.u.: 4.09


# Fe2CoTc | Alexandria via LeMat-Bulk | PBE | relaxed
data_Fe2CoTc
_chemical_formula_sum 'Fe2 Co1 Tc1'
_symmetry_space_group_name_H-M 'P 1'
_symmetry_Int_Tables_number 1
_cell_length_a 2.8093
_cell_length_b 2.8093
_cell_length_c 6.1486
_cell_angle_alpha 90.00
_cell_angle_beta 90.00
_cell_angle_gamma 90.00
loop_
_symmetry_equiv_pos_as_xyz
'x,y,z'
loop_
_atom_site_label
_atom_site_fract_x
_atom_site_fract_y
_atom_site_fract_z
Fe1 0.0000 0.0000 0.0000
Fe2 0.5000 0.5000 0.2354
Co1 0.5000 0.5000 0.7733
Tc1 0.0000 0.0000 0.4945
# Energy above the most stable polymorph in this dataset in meV/atom: 0
# Electronic total energy in eV for the cell shown: -34.15
# Density of states at the Fermi level in states/eV/f.u.: 3.32


# Fe2CoTc | Alexandria via LeMat-Bulk | PBE | relaxed
data_Fe2CoTc
_chemical_formula_sum 'Fe2 Co1 Tc1'
_symmetry_space_group_name_H-M 'P 1'
_symmetry_Int_Tables_number 1
_cell_length_a 4.3851
_cell_length_b 4.3851
_cell_length_c 4.3851
_cell_angle_alpha 131.21
_cell_angle_beta 131.21
_cell_angle_gamma 71.49
loop_
_symmetry_equiv_pos_as_xyz
'x,y,z'
loop_
_atom_site_label
_atom_site_fract_x
_atom_site_fract_y
_atom_site_fract_z
Fe1 0.0000 0.0000 0.0000
Fe2 0.7500 0.2500 0.5000
Co1 0.5000 0.5000 0.0000
Tc1 0.2500 0.7500 0.5000
# Energy above the most stable polymorph in this dataset in meV/atom: 22
# Electronic total energy in eV for the cell shown: -34.06
# Density of states at the Fermi level in states/eV/f.u.: 4.91


# Fe2CoTc | Alexandria via LeMat-Bulk | PBE | relaxed
data_Fe2CoTc
_chemical_formula_sum 'Fe2 Co1 Tc1'
_symmetry_space_group_name_H-M 'P 1'
_symmetry_Int_Tables_number 1
_cell_length_a 2.5209
_cell_length_b 4.0731
_cell_length_c 4.8825
_cell_angle_alpha 90.00
_cell_angle_beta 101.43
_cell_angle_gamma 90.00
loop_
_symmetry_equiv_pos_as_xyz
'x,y,z'
loop_
_atom_site_label
_atom_site_fract_x
_atom_site_fract_y
_atom_site_fract_z
Fe1 0.0000 0.0000 0.0000
Fe2 0.2180 0.5000 0.7548
Co1 0.4413 0.0000 0.5162
Tc1 0.7468 0.5000 0.2539
# Energy above the most stable polymorph in this dataset in meV/atom: 45
# Electronic total energy in eV for the cell shown: -33.97
# Density of states at the Fermi level in states/eV/f.u.: 4.48


# Fe2CoTc | Alexandria via LeMat-Bulk | PBE | relaxed
data_Fe2CoTc
_chemical_formula_sum 'Fe2 Co1 Tc1'
_symmetry_space_group_name_H-M 'P 1'
_symmetry_Int_Tables_number 1
_cell_length_a 4.7820
_cell_length_b 4.7820
_cell_length_c 4.7820
_cell_angle_alpha 144.69
_cell_angle_beta 128.45
_cell_angle_gamma 64.03
loop_
_symmetry_equiv_pos_as_xyz
'x,y,z'
loop_
_atom_site_label
_atom_site_fract_x
_atom_site_fract_y
_atom_site_fract_z
Fe1 0.2455 0.2455 0.0000
Fe2 0.7545 0.7545 0.0000
Co1 0.0000 0.5000 0.5000
Tc1 0.5000 0.0000 0.5000
# Energy above the most stable polymorph in this dataset in meV/atom: 84
# Electronic total energy in eV for the cell shown: -33.81
# Density of states at the Fermi level in states/eV/f.u.: 5.52


Look up the density of states at the Fermi level of the third one. 4.51 states/eV/f.u.


Which of these has the lowest density of states at the Fermi level? TbZrFeCo


Which value of density of states at the Fermi level does entry 5 give? 3.32 states/eV/f.u.


What did the third record say?
# FeCoTc2 | Alexandria via LeMat-Bulk | PBE | relaxed
data_FeCoTc2
_chemical_formula_sum 'Fe1 Co1 Tc2'
_symmetry_space_group_name_H-M 'P 1'
_symmetry_Int_Tables_number 1
_cell_length_a 2.6364
_cell_length_b 2.6364
_cell_length_c 7.3648
_cell_angle_alpha 90.00
_cell_angle_beta 90.00
_cell_angle_gamma 90.00
loop_
_symmetry_equiv_pos_as_xyz
'x,y,z'
loop_
_atom_site_label
_atom_site_fract_x
_atom_site_fract_y
_atom_site_fract_z
Fe1 0.0000 0.0000 0.0000
Co1 0.5000 0.5000 0.7750
Tc1 0.0000 0.0000 0.5352
Tc2 0.5000 0.5000 0.2471
# Energy above the most stable polymorph in this dataset in meV/atom: 54
# Electronic total energy in eV for the cell shown: -35.91
# Density of states at the Fermi level in states/eV/f.u.: 4.51